one | Ga2HO after structural relaxation. Source: Alexandria via LeMat-Bulk, functional PBE.

Structure (CIF):
```
data_Ga2HO
_chemical_formula_sum 'Ga8 H4 O4'
_cell_length_a 5.756
_cell_length_b 5.756
_cell_length_c 5.756
_cell_angle_alpha 90.00
_cell_angle_beta 90.00
_cell_angle_gamma 90.00
_symmetry_space_group_name_H-M 'F m -3 m'
_symmetry_Int_Tables_number 225
_symmetry_space_group_name_Hall '-F 4 2 3'
loop_
_atom_site_label
_atom_site_fract_x
_atom_site_fract_y
_atom_site_fract_z
Ga1 0.250 0.250 0.250
H1 0.000 0.000 0.000
O1 0.000 0.000 0.500
```

Calculated values
The calculation puts the magnetization at 0.0 μB/f.u.



two | Ga2HO after structural relaxation. Source: Alexandria via LeMat-Bulk, functional PBE.

Structure (CIF):
```
data_Ga2HO
_chemical_formula_sum 'Ga8 H4 O4'
_cell_length_a 4.940
_cell_length_b 4.940
_cell_length_c 8.707
_cell_angle_alpha 90.00
_cell_angle_beta 90.00
_cell_angle_gamma 90.00
_symmetry_space_group_name_H-M 'I -4 2 d'
_symmetry_Int_Tables_number 122
_symmetry_space_group_name_Hall 'I -4 2bw'
loop_
_atom_site_label
_atom_site_fract_x
_atom_site_fract_y
_atom_site_fract_z
Ga1 0.236 0.250 0.125
H1 0.000 0.000 0.000
O1 0.000 0.000 0.500
```

Calculated values
The calculation puts the magnetization at 0.0 μB/f.u.



Which structure wins on stability? two wins.



one | GaPHO2 after structural relaxation. Source: Alexandria via LeMat-Bulk, functional PBE.

Structure (CIF):
```
data_GaPHO2
_chemical_formula_sum 'Ga1 P1 H1 O2'
_cell_length_a 3.614
_cell_length_b 3.614
_cell_length_c 5.815
_cell_angle_alpha 90.00
_cell_angle_beta 90.00
_cell_angle_gamma 90.00
_symmetry_space_group_name_H-M 'P 4/m m m'
_symmetry_Int_Tables_number 123
_symmetry_space_group_name_Hall '-P 4 2'
loop_
_atom_site_label
_atom_site_fract_x
_atom_site_fract_y
_atom_site_fract_z
Ga1 0.000 0.000 0.000
P1 0.000 0.000 0.500
H1 0.500 0.500 0.500
O1 0.000 0.500 0.000
```

Calculated values
The calculation puts the magnetization at 1.8 μB/f.u.



two | GaPHO2 after structural relaxation. Source: Alexandria via LeMat-Bulk, functional PBE.

Structure (CIF):
```
data_GaPHO2
_chemical_formula_sum 'Ga1 P1 H1 O2'
_cell_length_a 4.084
_cell_length_b 4.084
_cell_length_c 2.961
_cell_angle_alpha 90.00
_cell_angle_beta 90.00
_cell_angle_gamma 90.00
_symmetry_space_group_name_H-M 'P 4/m m m'
_symmetry_Int_Tables_number 123
_symmetry_space_group_name_Hall '-P 4 2'
loop_
_atom_site_label
_atom_site_fract_x
_atom_site_fract_y
_atom_site_fract_z
Ga1 0.000 0.000 0.000
P1 0.500 0.500 0.000
H1 0.500 0.500 0.500
O1 0.000 0.500 0.500
```

Calculated values
The calculation puts the magnetization at 0.0 μB/f.u.



Which structure wins on stability? two wins.